*w*
DFT (PBE) results for a relaxed structure of PaAlCd.

Cell and atoms, written as CIF:
```
data_PaAlCd
_chemical_formula_sum 'Pa4 Al4 Cd4'
_cell_length_a 6.957
_cell_length_b 6.957
_cell_length_c 6.957
_cell_angle_alpha 90.00
_cell_angle_beta 90.00
_cell_angle_gamma 90.00
_symmetry_space_group_name_H-M 'F -4 3 m'
_symmetry_Int_Tables_number 216
_symmetry_space_group_name_Hall 'F -4 2 3'
loop_
_atom_site_label
_atom_site_type_symbol
_atom_site_fract_x
_atom_site_fract_y
_atom_site_fract_z
Pa1 Pa 0.000 0.000 0.000
Al1 Al 0.250 0.250 0.750
Cd1 Cd 0.250 0.250 0.250
```

Calculated values
Total magnetic moment ... 0.01 μB/f.u.

*x*
DFT (PBE) results for a relaxed structure of PaAlCd.

Cell and atoms, written as CIF:
```
data_PaAlCd
_chemical_formula_sum 'Pa4 Al4 Cd4'
_cell_length_a 6.704
_cell_length_b 6.704
_cell_length_c 6.704
_cell_angle_alpha 90.00
_cell_angle_beta 90.00
_cell_angle_gamma 90.00
_symmetry_space_group_name_H-M 'F -4 3 m'
_symmetry_Int_Tables_number 216
_symmetry_space_group_name_Hall 'F -4 2 3'
loop_
_atom_site_label
_atom_site_type_symbol
_atom_site_fract_x
_atom_site_fract_y
_atom_site_fract_z
Pa1 Pa 0.000 0.000 0.000
Al1 Al 0.250 0.250 0.750
Cd1 Cd 0.000 0.000 0.500
```

Calculated values
Total magnetic moment ... 1.07 μB/f.u.

Relative stability in meV per atom, measured from the most stable structure: *w* 343; *x* 0